CePm5Y12 | PBE | optimized geometry

VASP energy (eV per atom): -5.9256
Density (g/cm³): 5.41
Crystal system: monoclinic
Energy of formation (eV per formula unit): 0.594
Magnetic moment (μB/f.u.): 1.00
SG: No. 10

a b c (Å): 10.784 5.091 10.794
angles (deg): 90.00 90.13 90.00
Fractional positions:
1 Ce 0.000 0.000 0.000
2 Pm 0.164 0.500 0.836
3 Pm 0.333 0.000 0.667
4 Pm 0.500 0.500 0.500
5 Pm 0.667 0.000 0.333
6 Pm 0.836 0.500 0.164
7 Y 0.000 0.000 0.333
8 Y 0.000 0.000 0.667
9 Y 0.165 0.500 0.165
10 Y 0.167 0.500 0.500
11 Y 0.333 0.000 0.000
12 Y 0.333 0.000 0.333
13 Y 0.500 0.500 0.167
14 Y 0.500 0.500 0.833
15 Y 0.667 0.000 0.000
16 Y 0.667 0.000 0.667
17 Y 0.833 0.500 0.500
18 Y 0.835 0.500 0.835